(1)
The following is a GGA-PBE calculation of crystalline Cd3Ag2 at its relaxed geometry, from Alexandria via LeMat-Bulk.

Values from the calculation:
V (Å³/cell): 99.12
Magnetic moment (Bohr magnetons per cell): 0.00
Total DFT energy (no corrections) (eV per atom): -1.727
Polymorph energy (0 for the lowest one) (meV/atom): 0

abc: 5.3054 5.3054 6.8684
angles: 130.05 130.05 45.75
Fractional positions:
Cd1 0.0000 0.0000 0.0000
Cd2 0.1950 0.1950 0.6013
Cd3 0.8050 0.8050 0.3987
Ag1 0.3994 0.3994 0.1961
Ag2 0.6006 0.6006 0.8039



(2)
The following is a GGA-PBE calculation of crystalline BaGe2PdPt at its relaxed geometry, from Alexandria via LeMat-Bulk.

Values from the calculation:
V (Å³/cell): 113.60
Magnetic moment (Bohr magnetons per cell): 0.00
Total DFT energy (no corrections) (eV per atom): -5.177

abc: 6.4324 6.4324 6.4324
angles: 138.96 138.96 59.43
Fractional positions:
Ba1 0.0000 0.0000 0.0000
Ge1 0.3542 0.3542 0.0000
Ge2 0.6458 0.6458 0.0000
Pd1 0.7500 0.2500 0.5000
Pt1 0.2500 0.7500 0.5000



(3)
The following is a GGA-PBE calculation of crystalline Tl4In5Hg at its relaxed geometry, from Alexandria via LeMat-Bulk.

Values from the calculation:
V (Å³/cell): 283.82
Magnetic moment (Bohr magnetons per cell): 0.00
Total DFT energy (no corrections) (eV per atom): -2.329

abc: 3.5329 3.5329 22.7391
angles: 90.00 90.00 90.00
Fractional positions:
Tl1 0.0000 0.0000 0.1023
Tl2 0.0000 0.0000 0.3073
Tl3 0.0000 0.0000 0.6927
Tl4 0.0000 0.0000 0.8977
In1 0.5000 0.5000 0.0000
In2 0.5000 0.5000 0.2049
In3 0.5000 0.5000 0.4103
In4 0.5000 0.5000 0.5897
In5 0.5000 0.5000 0.7951
Hg1 0.0000 0.0000 0.5000



(4)
The following is a GGA-PBE calculation of crystalline NbTl3I2Cl6 at its relaxed geometry, from Alexandria via LeMat-Bulk.

Values from the calculation:
V (Å³/cell): 438.30
Magnetic moment (Bohr magnetons per cell): 0.00
Total DFT energy (no corrections) (eV per atom): -3.594

abc: 9.6470 9.6470 5.7765
angles: 90.10 90.10 54.62
Fractional positions:
Nb1 0.0000 0.0000 0.0000
Tl1 0.0000 0.5000 0.0000
Tl2 0.5000 0.0000 0.0000
Tl3 0.5000 0.5000 0.5000
I1 0.3042 0.3042 0.5660
I2 0.6958 0.6958 0.4340
Cl1 0.1111 0.1111 0.2459
Cl2 0.1303 0.7463 0.2271
Cl3 0.2537 0.8697 0.7729
Cl4 0.7463 0.1303 0.2271
Cl5 0.8697 0.2537 0.7729
Cl6 0.8889 0.8889 0.7541



(5)
The following is a GGA-PBE calculation of crystalline RbTcRhS3 at its relaxed geometry, from Alexandria via LeMat-Bulk.

Values from the calculation:
V (Å³/cell): 258.70
Magnetic moment (Bohr magnetons per cell): 0.00
Total DFT energy (no corrections) (eV per atom): -5.818

abc: 8.2609 3.5924 9.4190
angles: 90.00 112.25 90.00
Fractional positions:
Rb1 0.0156 0.2500 0.2546
Rb2 0.9844 0.7500 0.7454
Tc1 0.4942 0.2500 0.8753
Tc2 0.5058 0.7500 0.1247
Rh1 0.4292 0.7500 0.6231
Rh2 0.5708 0.2500 0.3769
S1 0.2517 0.2500 0.6359
S2 0.3110 0.2500 0.0086
S3 0.3712 0.7500 0.3379
S4 0.6288 0.2500 0.6621
S5 0.6890 0.7500 0.9914
S6 0.7483 0.7500 0.3641



(6)
The following is a GGA-PBE calculation of crystalline InFeSn2Bi at its relaxed geometry, from Alexandria via LeMat-Bulk.

Values from the calculation:
V (Å³/cell): 130.31
Magnetic moment (Bohr magnetons per cell): 1.80
Total DFT energy (no corrections) (eV per atom): -4.397

abc: 5.0335 5.0335 5.1431
angles: 90.00 90.00 90.00
Fractional positions:
In1 0.0000 0.0000 0.0000
Fe1 0.0000 0.0000 0.5000
Sn1 0.0000 0.5000 0.5000
Sn2 0.5000 0.0000 0.5000
Bi1 0.5000 0.5000 0.0000



(7)
The following is a GGA-PBE calculation of crystalline NaVAg2Te4 at its relaxed geometry, from Alexandria via LeMat-Bulk.

Values from the calculation:
V (Å³/cell): 266.95
Magnetic moment (Bohr magnetons per cell): 0.00
Total DFT energy (no corrections) (eV per atom): -3.827

abc: 7.4895 7.4895 7.4895
angles: 125.76 125.76 80.29
Fractional positions:
Na1 0.0000 0.0000 0.0000
V1 0.5000 0.5000 0.0000
Ag1 0.2500 0.7500 0.5000
Ag2 0.7500 0.2500 0.5000
Te1 0.1602 0.1602 0.5734
Te2 0.4132 0.8398 0.0000
Te3 0.5868 0.5868 0.4266
Te4 0.8398 0.4132 0.0000



(8)
The following is a GGA-PBE calculation of crystalline Ba2PbF2 at its relaxed geometry, from Alexandria via LeMat-Bulk.

Values from the calculation:
V (Å³/cell): 165.48
Magnetic moment (Bohr magnetons per cell): 0.00
Total DFT energy (no corrections) (eV per atom): -4.310
Polymorph energy (0 for the lowest one) (meV/atom): 32

abc: 7.0404 7.0404 7.0404
angles: 136.12 136.12 63.80
Fractional positions:
Ba1 0.2500 0.7500 0.5000
Ba2 0.7500 0.2500 0.5000
Pb1 0.0000 0.0000 0.0000
F1 0.3034 0.3034 0.0000
F2 0.6966 0.6966 0.0000



(9)
The following is a GGA-PBE calculation of crystalline Mn2SiAs at its relaxed geometry, from Alexandria via LeMat-Bulk.

Values from the calculation:
V (Å³/cell): 47.44
Magnetic moment (Bohr magnetons per cell): 0.01
Total DFT energy (no corrections) (eV per atom): -7.189

abc: 2.8731 2.8731 5.7469
angles: 90.00 90.00 90.00
Fractional positions:
Mn1 0.0000 0.0000 0.2442
Mn2 0.0000 0.0000 0.7558
Si1 0.5000 0.5000 0.0000
As1 0.5000 0.5000 0.5000



(10)
The following is a GGA-PBE calculation of crystalline NaCdPb6 at its relaxed geometry, from Alexandria via LeMat-Bulk.

Values from the calculation:
V (Å³/cell): 266.44
Magnetic moment (Bohr magnetons per cell): 0.00
Total DFT energy (no corrections) (eV per atom): -2.925
Polymorph energy (0 for the lowest one) (meV/atom): 168

abc: 6.4430 6.4430 6.4430
angles: 87.06 87.06 87.06
Fractional positions:
Na1 0.0000 0.0000 0.0000
Cd1 0.5000 0.5000 0.5000
Pb1 0.1642 0.1642 0.5408
Pb2 0.1642 0.5408 0.1642
Pb3 0.4592 0.8358 0.8358
Pb4 0.5408 0.1642 0.1642
Pb5 0.8358 0.4592 0.8358
Pb6 0.8358 0.8358 0.4592



(11)
The following is a GGA-PBE calculation of crystalline Mg2Ti2In at its relaxed geometry, from Alexandria via LeMat-Bulk.

Values from the calculation:
V (Å³/cell): 197.41
Magnetic moment (Bohr magnetons per cell): 0.00
Total DFT energy (no corrections) (eV per atom): -4.081
Polymorph energy (0 for the lowest one) (meV/atom): 0

abc: 7.7595 7.7595 3.2787
angles: 90.00 90.00 90.00
Fractional positions:
Mg1 0.1247 0.3753 0.0000
Mg2 0.3753 0.8753 0.0000
Mg3 0.6247 0.1247 0.0000
Mg4 0.8753 0.6247 0.0000
Ti1 0.1733 0.6733 0.5000
Ti2 0.3267 0.1733 0.5000
Ti3 0.6733 0.8267 0.5000
Ti4 0.8267 0.3267 0.5000
In1 0.0000 0.0000 0.0000
In2 0.5000 0.5000 0.0000



(12)
The following is a GGA-PBE calculation of crystalline LaWSe2Br at its relaxed geometry, from Alexandria via LeMat-Bulk.

Values from the calculation:
V (Å³/cell): 126.49
Magnetic moment (Bohr magnetons per cell): 0.00
Total DFT energy (no corrections) (eV per atom): -5.670
Polymorph energy (0 for the lowest one) (meV/atom): 0

abc: 4.9248 4.9248 5.2153
angles: 90.00 90.00 90.00
Fractional positions:
La1 0.0000 0.0000 0.0000
W1 0.5000 0.5000 0.5000
Se1 0.0000 0.5000 0.5000
Se2 0.5000 0.0000 0.5000
Br1 0.5000 0.5000 0.0000